[1]
Entry from Alexandria: SeBr2Cl after structural relaxation (GGA-PBEsol).

E above lowest polymorph: 258 meV/atom
uncorrected formation energy: 45.9 kJ per mole of atoms
DOS(E_F): 2.45 states/eV/f.u.
calculated density: 5.4 g/cm³

Cell: 6.969 6.969 6.969 Å, 90.00 90.00 90.00°
Space group Fm-3m (No. 225)
Asymmetric unit:
Se1 0.000 0.000 0.000
Br1 0.250 0.250 0.250
Cl1 0.000 0.000 0.500



[2]
Entry from Alexandria: Se2BrCl after structural relaxation (GGA-PBEsol).

uncorrected formation energy: 6.3 kJ per mole of atoms
DOS(E_F): 0.95 states/eV/f.u.
calculated density: 4.0 g/cm³

Cell: 4.065 4.065 6.813 Å, 90.00 90.00 90.00°
Space group P4mm (No. 99)
Asymmetric unit:
Se1 0.000 0.000 0.000
Se2 0.500 0.500 0.030
Br1 0.000 0.000 0.342
Cl1 0.500 0.500 0.710



[3]
Entry from Alexandria: SeBr2Cl after structural relaxation (GGA-PBEsol).

E above lowest polymorph: 99 meV/atom
uncorrected formation energy: 30.6 kJ per mole of atoms
DOS(E_F): 2.83 states/eV/f.u.
calculated density: 4.3 g/cm³

Cell: 3.836 3.836 7.141 Å, 90.00 90.00 90.00°
Space group P4/mmm (No. 123)
Asymmetric unit:
Se1 0.000 0.000 0.000
Br1 0.000 0.500 0.500
Cl1 0.500 0.500 0.000



[4]
Entry from Alexandria: Se2BrCl after structural relaxation (GGA-PBEsol).

uncorrected formation energy: -11.5 kJ per mole of atoms
calculated density: 4.4 g/cm³

Cell: 7.360 3.605 7.944 Å, 90.00 101.10 90.00°
Space group Cm (No. 8)
Asymmetric unit:
Se1 0.000 0.000 0.000
Se2 0.160 0.500 0.200
Br1 0.148 0.000 0.756
Cl1 0.300 0.000 0.421



[5]
Entry from Alexandria: SeBrCl after structural relaxation (GGA-PBEsol).

E above lowest polymorph: 0 meV/atom
uncorrected formation energy: -6.6 kJ per mole of atoms
DOS(E_F): 0.29 states/eV/f.u.
calculated density: 3.8 g/cm³

Cell: 3.551 7.220 13.358 Å, 90.00 90.00 90.00°
Space group Fmm2 (No. 42)
Asymmetric unit:
Se1 0.000 0.000 0.000
Br1 0.000 0.000 0.638
Cl1 0.000 0.000 0.372



[6]
Entry from Alexandria: SeBrCl after structural relaxation (GGA-PBEsol).

E above lowest polymorph: 111 meV/atom
uncorrected formation energy: 4.1 kJ per mole of atoms
DOS(E_F): 2.15 states/eV/f.u.
calculated density: 3.8 g/cm³

Cell: 2.840 7.200 8.344 Å, 90.00 90.00 90.00°
Space group Imm2 (No. 44)
Asymmetric unit:
Se1 0.000 0.000 0.000
Br1 0.000 0.000 0.668
Cl1 0.000 0.000 0.259



[7]
Entry from Alexandria: SeBr2Cl after structural relaxation (GGA-PBEsol).

E above lowest polymorph: 0 meV/atom
uncorrected formation energy: 21.0 kJ per mole of atoms
DOS(E_F): 2.30 states/eV/f.u.
calculated density: 4.6 g/cm³

Cell: 4.1165 4.1165 20.2741 Å, 90.00 90.00 120.00°
Space group R-3m (No. 166, hexagonal axes)
Asymmetric unit:
Se1 0.0000 0.0000 0.0000
Br1 0.0000 0.0000 0.2636
Cl1 0.0000 0.0000 0.5000



[8]
Entry from Alexandria: SeBrCl2 after structural relaxation (GGA-PBEsol).

uncorrected formation energy: 58.9 kJ per mole of atoms
DOS(E_F): 3.46 states/eV/f.u.
calculated density: 4.7 g/cm³

Cell: 6.874 6.874 6.874 Å, 90.00 90.00 90.00°
Space group Fm-3m (No. 225)
Asymmetric unit:
Se1 0.000 0.000 0.000
Br1 0.000 0.000 0.500
Cl1 0.250 0.250 0.250



[9]
Entry from Alexandria: SiSeBr2Cl after structural relaxation (GGA-PBEsol).

uncorrected formation energy: 77.8 kJ per mole of atoms
DOS(E_F): 2.93 states/eV/f.u.
calculated density: 3.8 g/cm³

Cell: 5.087 5.087 5.054 Å, 90.00 90.00 90.00°
Space group P4/mmm (No. 123)
Asymmetric unit:
Si1 0.000 0.000 0.000
Se1 0.500 0.500 0.000
Br1 0.000 0.500 0.500
Cl1 0.500 0.500 0.500



[10]
Entry from Alexandria: SnSeBr2Cl after structural relaxation (GGA-PBEsol).

uncorrected formation energy: 27.0 kJ per mole of atoms
DOS(E_F): 1.68 states/eV/f.u.
calculated density: 4.8 g/cm³

Cell: 5.120 5.120 5.142 Å, 90.00 90.00 90.00°
Space group P4/mmm (No. 123)
Asymmetric unit:
Sn1 0.000 0.000 0.000
Se1 0.500 0.500 0.000
Br1 0.000 0.500 0.500
Cl1 0.500 0.500 0.500



[11]
Entry from Alexandria: TiSe2BrCl after structural relaxation (GGA-PBEsol).

uncorrected formation energy: -34.9 kJ per mole of atoms
DOS(E_F): 5.60 states/eV/f.u.
calculated density: 4.6 g/cm³

Cell: 4.877 4.877 4.927 Å, 90.00 90.00 90.00°
Space group P4/mmm (No. 123)
Asymmetric unit:
Ti1 0.000 0.000 0.000
Se1 0.000 0.500 0.000
Br1 0.000 0.000 0.500
Cl1 0.500 0.500 0.500



[12]
Entry from Alexandria: YSeBr2Cl after structural relaxation (GGA-PBEsol).

uncorrected formation energy: -5.8 kJ per mole of atoms
DOS(E_F): 2.94 states/eV/f.u.
calculated density: 4.5 g/cm³

Cell: 5.040 5.040 5.256 Å, 90.00 90.00 90.00°
Space group P4/mmm (No. 123)
Asymmetric unit:
Y1 0.000 0.000 0.000
Se1 0.500 0.500 0.000
Br1 0.000 0.500 0.500
Cl1 0.500 0.500 0.500



no.,magnetic moment (μB per formula unit)
1,0.00
2,0.00
3,0.00
4,0.00
5,0.00
6,0.00
7,0.00
8,0.53
9,0.00
10,0.00
11,0.00
12,0.00